Density functional theory data (GGA+U) for CrCoAuF6 after structural relaxation.

It has space group P-31c (No. 163), with a = 5.3835 Å, b = 5.3835 Å, c = 10.6615 Å, α = 90.00°, β = 90.00° and γ = 120.00°. The distinct sites, in fractional coordinates, are Cr at (0.3333, 0.6667, 0.2500), Co at (0.3333, 0.6667, 0.7500), Au at (0.0000, 0.0000, 0.0000) and F at (0.0154, 0.3732, 0.1507).

The calculation puts the magnetic moment at 5.910 μB/f.u. The value obtained for the total energy is -4.956 eV per atom. Its crystal system is trigonal.